# AlPb3C

An optimized crystal structure of AlPb3C (PBE, the Alexandria database).

- V (Å³ per cell) = 158.8
- space-group type = Pm-3m (221)
- ΔE to the lowest computed polymorph (eV/atom) = 0.628
- energy of formation from the pure elements (eV per formula unit) = 8.274

a b c (Å): 5.415 5.415 5.415
angles (deg): 90.00 90.00 90.00
Last column: magnetic moment on the atom in μB.
Fractional positions:
C: 0.500 0.500 0.500  0.81
Pb: 0.000 0.500 0.000  -0.02
Pb: 0.000 0.000 0.500  -0.05
Al: 0.000 0.000 0.000  0.01
Pb: 0.500 0.000 0.000  -0.06